No. 1
8
Lattice="7.482 0.000 0.000 0.000 7.482 0.000 3.741 3.741 2.549" Properties=species:S:1:pos:R:3 comment="PBE-GGA TcAg2Ru, optimized geometry" dos_ef_per_ev_atom=1.35 mass_density_g_cm3=9.65 polymorph_energy_mev_per_atom=969 e_tot_ev_per_atom=-5.14 delta_e_f_kj_per_mol_atoms=116 sg="I-42d (122)" pbc="T T T"
Ru 0.000 0.000 0.000
Ru 7.482 3.741 1.275
Tc 3.741 3.741 0.000
Tc 3.741 7.482 1.275
Ag 5.634 1.870 0.637
Ag 1.848 5.611 0.637
Ag 5.611 5.589 1.912
Ag 9.352 9.375 1.912

***

No. 2
10
Lattice="-2.436 -0.212 -6.292 -5.860 -6.319 2.481 -4.333 4.615 1.522" Properties=species:S:1:pos:R:3 comment="PBE-GGA Ac2LaDyY, optimized geometry" dos_ef_per_ev_atom=1.25 mass_density_g_cm3=7.11 e_tot_ev_per_atom=-4.59 delta_e_f_kj_per_mol_atoms=25 sg="Pmma (51)" pbc="T T T"
Ac -9.111 -1.135 -1.602
Ac -6.724 1.436 -2.612
Ac -5.905 -3.352 0.324
Ac -3.518 -0.781 -0.687
La -2.492 1.031 -3.258
La -4.277 3.372 -1.512
Dy 0.000 0.000 0.000
Dy -2.166 2.307 0.761
Y -6.633 0.262 1.210
Y -5.995 -2.178 -3.498

***

No. 3
4
Lattice="-4.424 2.615 -1.741 -4.026 -3.446 -1.166 3.217 0.622 4.325" Properties=species:S:1:pos:R:3 comment="PBE-GGA Li2YAg, optimized geometry" dos_ef_per_ev_atom=0.52 mass_density_g_cm3=4.19 polymorph_energy_mev_per_atom=62 e_tot_ev_per_atom=-3.32 delta_e_f_kj_per_mol_atoms=-3 sg="I4/mmm (139)" pbc="T T T"
Ag -2.716 1.410 0.565
Li 0.000 0.000 0.000
Li -4.225 -0.416 -1.453
Y -2.517 -1.620 0.853